Crystalline Ac2Pr2Dy at its relaxed geometry. Source: Alexandria, functional PBE.

a = 4.9595 Å, b = 4.9595 Å, c = 16.8471 Å
α = 90.00°, β = 90.00°, γ = 90.00°
Closest atoms and distances in Å follow each position.
Space group I4/mmm (No. 139)
Unique sites:
Ac: 0.0000 0.5000 0.2500  4 Ac 3.51, 4 Pr 3.65
Pr: 0.0000 0.0000 0.0909  1 Pr 3.06
Dy: 0.0000 0.0000 0.5000  8 Pr 3.83

## Properties
- Energy relative to the elements: 0.445 eV/atom
- Excess energy over the best structure of this formula in the dataset: 314 meV per atom
- Final energy: -4.03 eV per atom
- DOS at the Fermi energy: 17.37 states/eV/cell
- Total magnetic moment: 0.0 Bohr magnetons per cell

---

Crystalline Ac8Pr2Dy3 at its relaxed geometry. Source: Alexandria, functional PBE.

a = 6.6712 Å, b = 6.6932 Å, c = 12.1286 Å
α = 90.15°, β = 100.70°, γ = 99.68°
Closest atoms and distances in Å follow each position.
Space group P-1 (No. 2)
Unique sites:
Ac: 0.0433 0.4143 0.1485  5 Dy 3.75-3.91, 6 Ac 3.75-3.91, 1 Pr 3.91
Ac: 0.1967 0.1187 0.7791  4 Dy 3.69-3.87, 6 Ac 3.83-3.91, 2 Pr 3.93
Ac: 0.3425 0.8065 0.3818  4 Pr 3.83-3.88, 1 Dy 3.86, 7 Ac 3.87-3.90
Ac: 0.4189 0.6565 0.6958  2 Dy 3.80-3.83, 3 Pr 3.83-3.92, 7 Ac 3.84-3.90
Pr: 0.1135 0.2667 0.4630  2 Pr 3.81-3.86, 10 Ac 3.83-3.93
Dy: 0.2758 0.9609 0.0729  8 Ac 3.69-3.91, 4 Dy 3.71-3.90
Dy: 0.5000 0.5000 0.0000  8 Ac 3.74-3.87, 4 Dy 3.82-3.84

## Properties
- Energy relative to the elements: 0.052 eV/atom
- Final energy: -4.27 eV per atom
- DOS at the Fermi energy: 23.02 states/eV/cell
- Total magnetic moment: 0.0 Bohr magnetons per cell

---

Crystalline Ac2Pr2Dy at its relaxed geometry. Source: Alexandria, functional PBE.

a = 10.5053 Å, b = 8.0718 Å, c = 9.8214 Å
α = 90.00°, β = 111.73°, γ = 90.00°
Closest atoms and distances in Å follow each position.
Space group C2/c (No. 15)
Unique sites:
Ac: 0.1247 0.1576 0.1471  5 Pr 3.52-3.88, 3 Dy 3.69-3.78, 1 Ac 3.86
Pr: 0.1562 0.4300 0.4841  2 Pr 3.46-3.59, 1 Dy 3.50, 4 Ac 3.52-3.76
Dy: 0.0000 0.2406 0.7500  4 Pr 3.50-3.88, 6 Ac 3.69-3.78

## Properties
- Energy relative to the elements: 0.131 eV/atom
- Excess energy over the best structure of this formula in the dataset: 0 meV per atom
- Final energy: -4.34 eV per atom
- DOS at the Fermi energy: 25.30 states/eV/cell
- Total magnetic moment: 0.0 Bohr magnetons per cell

---

Crystalline Ac4Pr2Dy at its relaxed geometry. Source: Alexandria, functional PBE.

a = 6.2729 Å, b = 24.6298 Å, c = 3.7534 Å
α = 90.00°, β = 90.00°, γ = 90.00°
Closest atoms and distances in Å follow each position.
Space group Cmmm (No. 65)
Unique sites:
Ac: 0.0000 0.0776 0.0000  2 Dy 3.67, 7 Ac 3.75-3.92, 2 Pr 3.85
Ac: 0.0000 0.3644 0.5000  3 Pr 3.69-3.70, 6 Ac 3.75-3.92, 2 Dy 3.83
Pr: 0.0000 0.2143 0.5000  4 Pr 3.60-3.75, 5 Ac 3.69-3.85
Dy: 0.0000 0.5000 0.0000  8 Ac 3.67-3.83, 2 Dy 3.75

## Properties
- Energy relative to the elements: 0.217 eV/atom
- Final energy: -4.15 eV per atom
- DOS at the Fermi energy: 24.51 states/eV/cell
- Total magnetic moment: 0.0 Bohr magnetons per cell

---

Crystalline AcPr5Dy4 at its relaxed geometry. Source: Alexandria, functional PBE.

a = 4.2280 Å, b = 4.2280 Å, c = 19.7621 Å
α = 90.00°, β = 90.00°, γ = 90.00°
Closest atoms and distances in Å follow each position.
Space group P4/mmm (No. 123)
Unique sites:
Ac: 0.0000 0.0000 0.0000  8 Pr 3.83, 2 Dy 4.22, 4 Ac 4.23
Pr: 0.5000 0.5000 0.1213  4 Dy 3.50, 1 Pr 3.69, 4 Ac 3.83
Pr: 0.5000 0.5000 0.3079  8 Dy 3.52-3.54, 2 Pr 3.69-3.80
Pr: 0.5000 0.5000 0.5000  8 Dy 3.54, 2 Pr 3.80
Dy: 0.0000 0.0000 0.2136  8 Pr 3.50-3.52, 1 Dy 3.76
Dy: 0.0000 0.0000 0.4041  8 Pr 3.54, 2 Dy 3.76-3.79

## Properties
- Energy relative to the elements: 0.101 eV/atom
- Final energy: -4.54 eV per atom
- DOS at the Fermi energy: 20.20 states/eV/cell
- Total magnetic moment: 0.0 Bohr magnetons per cell

---

Crystalline AcPr5Dy5 at its relaxed geometry. Source: Alexandria, functional PBE.

a = 6.2480 Å, b = 6.2480 Å, c = 11.8458 Å
α = 90.00°, β = 90.00°, γ = 120.00°
Closest atoms and distances in Å follow each position.
Space group P-6m2 (No. 187)
Unique sites:
Ac: 0.0000 0.0000 0.0000  5 Pr 3.61-3.88
Pr: 0.0000 0.0000 0.3279  9 Dy 3.68-3.73, 1 Ac 3.88, 4 Pr 4.08-4.12
Pr: 0.3333 0.6667 0.1596  7 Pr 3.78-4.12, 3 Dy 3.82, 3 Ac 4.07
Pr: 0.6667 0.3333 0.0000  2 Dy 3.15
Dy: 0.5007 0.0014 0.5000  6 Dy 3.11-3.30
Dy: 0.6667 0.3333 0.2663  1 Pr 3.15, 3 Dy 3.30

## Properties
- Energy relative to the elements: 0.264 eV/atom
- Final energy: -4.37 eV per atom
- DOS at the Fermi energy: 20.78 states/eV/cell
- Total magnetic moment: 0.0 Bohr magnetons per cell

---

Crystalline Ac4PrDy at its relaxed geometry. Source: Alexandria, functional PBE.

a = 5.9783 Å, b = 5.9783 Å, c = 25.7550 Å
α = 90.00°, β = 90.00°, γ = 120.00°
Closest atoms and distances in Å follow each position.
Space group R-3m (No. 166, hexagonal axes)
Unique sites:
Ac: 0.0000 0.0000 0.1316  1 Pr 3.39, 3 Dy 3.57, 1 Ac 3.79
Ac: 0.0000 0.0000 0.2787  3 Pr 3.73, 4 Ac 3.79-3.98
Pr: 0.0000 0.0000 0.0000  8 Ac 3.39-3.73
Dy: 0.0000 0.0000 0.5000  6 Ac 3.57

## Properties
- Energy relative to the elements: 0.362 eV/atom
- Excess energy over the best structure of this formula in the dataset: 15 meV per atom
- Final energy: -3.94 eV per atom
- DOS at the Fermi energy: 30.35 states/eV/cell
- Total magnetic moment: 0.0 Bohr magnetons per cell

---

Crystalline AcPrDy4 at its relaxed geometry. Source: Alexandria, functional PBE.

a = 12.1334 Å, b = 9.0482 Å, c = 9.6223 Å
α = 90.00°, β = 125.62°, γ = 90.00°
Closest atoms and distances in Å follow each position.
Space group C2/m (No. 12)
Unique sites:
Ac: 0.1846 0.0000 0.1952  7 Dy 3.58-3.84, 2 Pr 3.61-3.69, 1 Ac 3.82
Pr: 0.0868 0.0000 0.7530  7 Dy 3.33-3.53, 2 Ac 3.61-3.69
Dy: 0.0000 0.3097 0.5000  5 Dy 3.44-3.81, 2 Pr 3.45, 2 Ac 3.62
Dy: 0.1022 0.3258 0.9397  4 Dy 3.15-3.53, 1 Pr 3.40
Dy: 0.2078 0.5000 0.3703  1 Pr 3.33, 2 Dy 3.53, 1 Ac 3.58

## Properties
- Energy relative to the elements: 0.236 eV/atom
- Excess energy over the best structure of this formula in the dataset: 175 meV per atom
- Final energy: -4.31 eV per atom
- DOS at the Fermi energy: 37.57 states/eV/cell
- Total magnetic moment: 0.0 Bohr magnetons per cell